Entry 1:
CaMnRu2 (PBEsol, relaxed); energy above the most stable polymorph in this dataset = 0 meV/atom; DOS(E_F) = 3.6 states/eV/f.u.; DFT formation energy = 43 kJ per mole of atoms; electronic total energy = -7.615 eV per atom; ρ = 7.79 Mg/m³; space group = C2/m (12)
1.0
4.5340 -1.4099 0.0000
4.5340 1.4099 0.0000
-1.3638 0.0000 4.9578
Ca Mn Ru
1 1 2
Direct
0.0000 0.0000 0.0000
0.5000 0.5000 0.5000
0.2222 0.2222 0.6855
0.7778 0.7778 0.3145


Entry 2:
CaMnRu2 (PBEsol, relaxed); energy above the most stable polymorph in this dataset = 160 meV/atom; DOS(E_F) = 4.3 states/eV/f.u.; DFT formation energy = 58 kJ per mole of atoms; electronic total energy = -7.455 eV per atom; ρ = 7.99 Mg/m³; space group = F-43m (216)
1.0
0.0000 3.1379 3.1379
3.1379 0.0000 3.1379
3.1379 3.1379 0.0000
Ca Mn Ru
1 1 2
Direct
0.0000 0.0000 0.0000
0.7500 0.7500 0.7500
0.2500 0.2500 0.2500
0.5000 0.5000 0.5000


Entry 3:
CaMnRu2 (PBEsol, relaxed); energy above the most stable polymorph in this dataset = 120 meV/atom; DOS(E_F) = 4.5 states/eV/f.u.; DFT formation energy = 54 kJ per mole of atoms; electronic total energy = -7.495 eV per atom; ρ = 8.08 Mg/m³; space group = R-3m (166)
1.0
1.4257 0.8231 8.6726
-1.4257 0.8231 8.6726
0.0000 -1.6463 8.6726
Ca Mn Ru
1 1 2
Direct
0.0000 0.0000 0.0000
0.5000 0.5000 0.5000
0.2391 0.2391 0.2391
0.7609 0.7609 0.7609


Entry 4:
CaMnRu2 (PBEsol, relaxed); energy above the most stable polymorph in this dataset = 95 meV/atom; DOS(E_F) = 5.2 states/eV/f.u.; DFT formation energy = 52 kJ per mole of atoms; electronic total energy = -7.520 eV per atom; ρ = 7.67 Mg/m³; space group = P4mm (99)
1.0
3.0372 0.0000 0.0000
0.0000 3.0372 0.0000
0.0000 0.0000 6.9768
Ca Mn Ru
1 1 2
Direct
0.0000 0.0000 0.0000
0.5000 0.5000 0.3291
0.0000 0.0000 0.4757
0.5000 0.5000 0.6961


Entry 5:
Ca4MnRu (PBEsol, relaxed); DOS(E_F) = 7.4 states/eV/f.u.; DFT formation energy = 114 kJ per mole of atoms; electronic total energy = -3.566 eV per atom; ρ = 3.42 Mg/m³; space group = F-43m (216)
1.0
0.0000 4.2490 4.2490
4.2490 0.0000 4.2490
4.2490 4.2490 0.0000
Ca Mn Ru
4 1 1
Direct
0.1239 0.1239 0.1239
0.1239 0.1239 0.6284
0.1239 0.6284 0.1239
0.6284 0.1239 0.1239
0.5000 0.5000 0.5000
0.7500 0.7500 0.7500


Entry 6:
CaMnS2 (PBEsol, relaxed); DOS(E_F) = 0.1 states/eV/f.u.; electronic total energy = -6.420 eV per atom; ρ = 3.42 Mg/m³; uncorrected formation energy = -1.254 eV per atom; space group = R-3m (166)
1.0
1.9065 1.1007 6.1377
-1.9065 1.1007 6.1377
0.0000 -2.2014 6.1377
Ca Mn S
1 1 2
Direct
0.0000 0.0000 0.0000
0.5000 0.5000 0.5000
0.2414 0.2414 0.2414
0.7586 0.7586 0.7586


Entry 7:
CaMn4S8 (PBEsol, relaxed); DOS(E_F) = 5.6 states/eV/f.u.; electronic total energy = -6.666 eV per atom; ρ = 3.47 Mg/m³; uncorrected formation energy = -0.801 eV per atom; space group = R-3m (166)
1.0
3.2901 1.8996 6.5849
-3.2901 1.8996 6.5849
0.0000 -3.7991 6.5849
Ca Mn S
1 4 8
Direct
0.0000 0.0000 0.0000
0.0000 0.0000 0.5000
0.0000 0.5000 0.0000
0.5000 0.0000 0.0000
0.5000 0.5000 0.5000
0.2329 0.2329 0.2329
0.2362 0.7308 0.7308
0.2692 0.2692 0.7638
0.2692 0.7638 0.2692
0.7308 0.2362 0.7308
0.7308 0.7308 0.2362
0.7638 0.2692 0.2692
0.7671 0.7671 0.7671


Entry 8:
CaMnSb2 (PBEsol, relaxed); DOS(E_F) = 2.7 states/eV/f.u.; electronic total energy = -5.389 eV per atom; ρ = 6.03 Mg/m³; uncorrected formation energy = -0.137 eV per atom; space group = P4/mmm (123)
1.0
4.7776 0.0000 0.0000
0.0000 4.7776 0.0000
0.0000 0.0000 4.0822
Ca Mn Sb
1 1 2
Direct
0.0000 0.0000 0.0000
0.5000 0.5000 0.0000
0.0000 0.5000 0.5000
0.5000 0.0000 0.5000


Entry 9:
CaMnSb4 (PBEsol, relaxed); DOS(E_F) = 4.0 states/eV/f.u.; electronic total energy = -4.768 eV per atom; ρ = 5.80 Mg/m³; uncorrected formation energy = 0.252 eV per atom; space group = F-43m (216)
1.0
0.0000 4.3675 4.3675
4.3675 0.0000 4.3675
4.3675 4.3675 0.0000
Ca Mn Sb
1 1 4
Direct
0.0000 0.0000 0.0000
0.2500 0.2500 0.2500
0.1270 0.6243 0.6243
0.6243 0.1270 0.6243
0.6243 0.6243 0.1270
0.6243 0.6243 0.6243


Entry 10:
CaMnSb (PBEsol, relaxed); DOS(E_F) = 2.4 states/eV/f.u.; electronic total energy = -5.698 eV per atom; ρ = 4.87 Mg/m³; uncorrected formation energy = -0.214 eV per atom; space group = P-6m2 (187)
1.0
4.5061 0.0000 0.0000
-2.2530 3.9024 0.0000
0.0000 0.0000 4.2022
Ca Mn Sb
1 1 1
Direct
0.0000 0.0000 0.0000
0.6667 0.3333 0.5000
0.3333 0.6667 0.5000


Entry 11:
CaMnSb2 (PBEsol, relaxed); DOS(E_F) = 1.6 states/eV/f.u.; electronic total energy = -5.590 eV per atom; ρ = 5.80 Mg/m³; uncorrected formation energy = -0.338 eV per atom; space group = R-3m (166)
1.0
2.0360 1.1755 6.7551
-2.0360 1.1755 6.7551
0.0000 -2.3509 6.7551
Ca Mn Sb
1 1 2
Direct
0.0000 0.0000 0.0000
0.5000 0.5000 0.5000
0.2308 0.2308 0.2308
0.7692 0.7692 0.7692


Entry 12:
CaMnSb2 (PBEsol, relaxed); DOS(E_F) = 2.6 states/eV/f.u.; electronic total energy = -5.632 eV per atom; ρ = 5.93 Mg/m³; uncorrected formation energy = -0.380 eV per atom; space group = P4/nmm (129)
1.0
4.3058 0.0000 0.0000
0.0000 4.3058 0.0000
0.0000 0.0000 10.2325
Ca Mn Sb
2 2 4
Direct
0.2500 0.2500 0.2418
0.7500 0.7500 0.7582
0.2500 0.7500 0.5000
0.7500 0.2500 0.5000
0.2500 0.2500 0.6498
0.2500 0.7500 0.0000
0.7500 0.2500 0.0000
0.7500 0.7500 0.3502


Question: The highest DOS(E_F) belongs to which entry?
Answer: Ca4MnRu


Copy entry 10 word for word.
CaMnSb (PBEsol, relaxed); DOS(E_F) = 2.4 states/eV/f.u.; electronic total energy = -5.698 eV per atom; ρ = 4.87 Mg/m³; uncorrected formation energy = -0.214 eV per atom; space group = P-6m2 (187)
1.0
4.5061 0.0000 0.0000
-2.2530 3.9024 0.0000
0.0000 0.0000 4.2022
Ca Mn Sb
1 1 1
Direct
0.0000 0.0000 0.0000
0.6667 0.3333 0.5000
0.3333 0.6667 0.5000


Repeat the fifth record exactly.
Ca4MnRu (PBEsol, relaxed); DOS(E_F) = 7.4 states/eV/f.u.; DFT formation energy = 114 kJ per mole of atoms; electronic total energy = -3.566 eV per atom; ρ = 3.42 Mg/m³; space group = F-43m (216)
1.0
0.0000 4.2490 4.2490
4.2490 0.0000 4.2490
4.2490 4.2490 0.0000
Ca Mn Ru
4 1 1
Direct
0.1239 0.1239 0.1239
0.1239 0.1239 0.6284
0.1239 0.6284 0.1239
0.6284 0.1239 0.1239
0.5000 0.5000 0.5000
0.7500 0.7500 0.7500